4
Lattice="2.996 0.000 0.000 0.000 4.331 0.000 0.000 0.000 5.916" Properties=species:S:1:pos:R:3 comment="PBE-GGA MgTaCl2, optimized geometry" sg="No. 47" e_tot_ev_per_atom=-4.36 magmom_total_mub_per_cell=0.04 volume_a3_per_cell=76.7 pbc="T T T"
Mg 0.000 0.000 0.000
Ta 1.498 0.000 2.958
Cl 0.000 2.165 2.958
Cl 1.498 2.165 0.000

6
Lattice="0.000 3.588 3.588 3.588 0.000 3.588 3.588 3.588 0.000" Properties=species:S:1:pos:R:3 comment="PBE-GGA TiAl4Mo, optimized geometry" e_form_ev_per_fu=-1.05 sg="No. 216" e_tot_ev_per_atom=-5.79 magmom_total_mub_per_cell=0.00 volume_a3_per_cell=92.4 pbc="T T T"
Ti 0.000 0.000 0.000
Al 2.690 2.690 2.690
Al 4.486 4.486 2.690
Al 4.486 2.690 4.486
Al 2.690 4.486 4.486
Mo 5.382 5.382 5.382

4
Lattice="5.187 0.000 0.000 0.000 5.187 0.000 0.000 0.000 5.193" Properties=species:S:1:pos:R:3 comment="PBE-GGA CaPrGd2, optimized geometry" e_form_ev_per_fu=0.38 sg="No. 123" e_tot_ev_per_atom=-8.64 magmom_total_mub_per_cell=15.24 volume_a3_per_cell=139.7 pbc="T T T"
Ca 0.000 0.000 0.000
Pr 2.594 2.594 0.000
Gd 0.000 2.594 2.596
Gd 2.594 0.000 2.596

Which formula does entry 1 have? MgTaCl2